# 1
Compound: Ag3WBr2Cl6
Source: the Alexandria database
Functional: GGA-PBE
Structure: relaxed

a b c (Å): 8.3206 8.3206 6.1648
angles (deg): 101.29 101.29 55.34
Atoms (fractional coordinates):
Ag 0.0000 0.0000 0.0000
Ag 0.0000 0.5000 0.5000
Ag 0.5000 0.0000 0.5000
W 0.5000 0.5000 0.5000
Br 0.1715 0.1715 0.2331
Br 0.8285 0.8285 0.7669
Cl 0.2012 0.6322 0.2715
Cl 0.3678 0.7988 0.7285
Cl 0.3859 0.3859 0.7165
Cl 0.6141 0.6141 0.2835
Cl 0.6322 0.2012 0.2715
Cl 0.7988 0.3678 0.7285

## Properties
Magnetic moment, μB per formula unit: 1.0
N(E_F), states/eV/atom: 0.493
Crystal system: monoclinic

=====

# 2
Compound: ZnAgBr2Cl
Source: the Alexandria database
Functional: GGA-PBE
Structure: relaxed

a b c (Å): 5.3883 5.3883 4.9032
angles (deg): 90.00 90.00 90.00
Atoms (fractional coordinates):
Zn 0.0000 0.0000 0.0000
Ag 0.5000 0.5000 0.5000
Br 0.0000 0.5000 0.5000
Br 0.5000 0.0000 0.5000
Cl 0.5000 0.5000 0.0000

## Properties
Magnetic moment, μB per formula unit: 0.5
N(E_F), states/eV/atom: 0.833
Crystal system: tetragonal

=====

Mass density values (in g/cm3) by entry order: 4.3 4.3.
Total energy values (in eV/atom) by entry order: -3.58 -1.87.
Formation energy (no corrections) values (in meV/atom) by entry order: -583 -4.